Record 1
An optimized crystal structure of La5PmGa3, computed with PBE.

Cell: 9.3004 9.3004 6.9674 Å, 90.00 90.00 120.00°
Space group P6_3/mcm (No. 193)
One atom of each set of equivalent atoms:
La 0.0000 0.3390 0.2500 x6
La 0.3333 0.6667 0.0000 x4
Pm 0.0000 0.0000 0.0000 x2
Ga 0.0000 0.3247 0.7500 x6

Summary:
The formation energy is -0.38 eV per atom. The total magnetic moment is 0.00 μB/f.u. For the calculated density, the calculation gives 6.673 g cm⁻³.

Record 2
An optimized crystal structure of K3Zr4Ag2F23, computed with PBE.

Cell: 8.0282 11.3642 10.4125 Å, 90.00 96.71 90.00°
Space group P2_1/c (No. 14)
One atom of each set of equivalent atoms:
K 0.0000 0.0000 0.0000 x2
K 0.2813 0.0234 0.3655 x4
Zr 0.1653 0.6958 0.1642 x4
Zr 0.4718 0.6833 0.4573 x4
Ag 0.1853 0.1573 0.6884 x4
F 0.0040 0.2164 0.4956 x4
F 0.0208 0.1428 0.2317 x4
F 0.0242 0.6411 0.7110 x4
F 0.1333 0.5238 0.0951 x4
F 0.2627 0.6458 0.5636 x4
F 0.3070 0.5846 0.3111 x4
F 0.3192 0.7077 0.8160 x4
F 0.3541 0.1376 0.1581 x4
F 0.3557 0.1878 0.8824 x4
F 0.3860 0.1543 0.5780 x4
F 0.3858 0.6615 0.0679 x4
F 0.5000 0.0000 0.0000 x2

Summary:
The total magnetic moment is 1.91 μB/f.u. For the calculated density, the calculation gives 3.995 g cm⁻³. As for the uncorrected formation energy: -3.0875 eV/atom.

Record 3
An optimized crystal structure of Ca2AgB2Pt5, computed with PBE.

Cell: 9.8131 9.8131 3.2462 Å, 90.00 90.00 90.00°
Space group P4/mbm (No. 127)
One atom of each set of equivalent atoms:
Ca 0.1771 0.3229 0.0000 x4
Ag 0.0000 0.0000 0.0000 x2
B 0.1230 0.6230 0.0000 x4
Pt 0.0000 0.5000 0.5000 x2
Pt 0.0700 0.7740 0.5000 x8

Summary:
The formation energy is -0.56 eV per atom. The total magnetic moment is 0.00 μB/f.u. For the calculated density, the calculation gives 12.590 g cm⁻³.

Record 4
An optimized crystal structure of Tl2SiMo, computed with PBE.

Cell: 3.2968 3.2968 27.7989 Å, 90.00 90.00 120.00°
Space group R3m (No. 160, hexagonal axes)
One atom of each set of equivalent atoms:
Tl 0.0000 0.0000 0.0000 x3
Tl 0.0000 0.0000 0.2283 x3
Si 0.0000 0.0000 0.7553 x3
Mo 0.0000 0.0000 0.4781 x3

Summary:
The total magnetic moment is 0.00 μB/f.u. As for the relative energy among the computed polymorphs: 88.9 meV/atom. For the calculated density, the calculation gives 10.144 g cm⁻³. As for the uncorrected formation energy: 0.3790 eV/atom.

Record 5
An optimized crystal structure of La6Pm4Sm, computed with PBE.

Cell: 7.0759 7.0759 16.1254 Å, 90.00 90.00 90.00°
Space group I-42m (No. 121)
One atom of each set of equivalent atoms:
La 0.0000 0.5000 0.0000 x4
La 0.1895 0.1895 0.1818 x8
Pm 0.1680 0.1680 0.3950 x8
Sm 0.0000 0.0000 0.0000 x2

Summary:
The formation energy is 0.26 eV per atom. The total magnetic moment is 0.00 μB/f.u. For the calculated density, the calculation gives 6.433 g cm⁻³.

Record 6
An optimized crystal structure of Li3Ce2Ga5, computed with PBE.

Cell: 10.2982 12.4663 5.9948 Å, 90.00 90.00 90.00°
Space group Ibam (No. 72)
One atom of each set of equivalent atoms:
Li 0.0000 0.0000 0.2500 x4
Li 0.1040 0.3647 0.0000 x8
Ce 0.2333 0.3717 0.5000 x8
Ga 0.0000 0.2231 0.2500 x8
Ga 0.0000 0.5000 0.2500 x4
Ga 0.1593 0.1147 0.5000 x8

Summary:
The formation energy is -0.38 eV per atom. The total magnetic moment is 1.23 μB/f.u. For the calculated density, the calculation gives 5.607 g cm⁻³.

Record 7
An optimized crystal structure of YGa2Re2, computed with PBE.

Cell: 7.5449 7.5449 3.0012 Å, 90.00 90.00 90.00°
Space group P4/mbm (No. 127)
One atom of each set of equivalent atoms:
Y 0.0000 0.0000 0.0000 x2
Ga 0.1439 0.3561 0.0000 x4
Re 0.1455 0.6455 0.5000 x4

Summary:
The formation energy is 0.06 eV per atom. The total magnetic moment is 0.00 μB/f.u. As for the relative energy among the computed polymorphs: 72.5 meV/atom. For the calculated density, the calculation gives 11.678 g cm⁻³.

Record 8
An optimized crystal structure of Na3InSb2, computed with PBE.

Cell: 7.2316 14.3787 8.1017 Å, 90.00 90.00 90.00°
Space group Ibam (No. 72)
One atom of each set of equivalent atoms:
Na 0.0000 0.0000 0.2500 x4
Na 0.0000 0.2646 0.2500 x8
In 0.0000 0.5000 0.0000 x4
Sb 0.2353 0.1319 0.0000 x8

Summary:
The total magnetic moment is 0.00 μB/f.u. As for the relative energy among the computed polymorphs: 116.4 meV/atom. For the calculated density, the calculation gives 3.369 g cm⁻³. As for the uncorrected formation energy: -0.2652 eV/atom.

Energy for every record listed, in sequence, given in eV/atom: -4.6541; -5.7821; -5.5968; -4.8677; -4.5830; -3.6550; -7.4241; -2.7552.